Record 1
An optimized crystal structure of BiSbIrO2, computed with PBEsol.

Values from the calculation:
For the formation energy (no corrections), the calculation gives 0.12 eV per atom.

The structure in CIF format:
```
data_BiSbIrO2
_space_group_name_H-M_alt 'P 4/m m m'
_space_group_IT_number 123
_space_group_name_Hall '-P 4 2'
_cell_length_a 3.949
_cell_length_b 3.949
_cell_length_c 6.055
_cell_angle_alpha 90.00
_cell_angle_beta 90.00
_cell_angle_gamma 90.00
loop_
_atom_site_label
_atom_site_type_symbol
_atom_site_fract_x
_atom_site_fract_y
_atom_site_fract_z
Bi1 Bi 0.000 0.000 0.000
Sb1 Sb 0.500 0.500 0.000
Ir1 Ir 0.000 0.000 0.500
O1 O 0.000 0.500 0.500
```



Record 2
An optimized crystal structure of Bi2IrPb, computed with PBEsol.

Values from the calculation:
As for the energy of formation from the pure elements: 181 kJ/mol of formula units.

The structure in CIF format:
```
data_Bi2IrPb
_space_group_name_H-M_alt 'I -4 2 d'
_space_group_IT_number 122
_space_group_name_Hall 'I -4 2bw'
_cell_length_a 6.525
_cell_length_b 6.525
_cell_length_c 12.995
_cell_angle_alpha 90.00
_cell_angle_beta 90.00
_cell_angle_gamma 90.00
loop_
_atom_site_label
_atom_site_type_symbol
_atom_site_fract_x
_atom_site_fract_y
_atom_site_fract_z
Bi1 Bi 0.188 0.250 0.125
Ir1 Ir 0.000 0.000 0.000
Pb1 Pb 0.000 0.000 0.500
```



Record 3
An optimized crystal structure of BiIrPd2, computed with PBEsol.

Values from the calculation:
As for the energy of formation from the pure elements: 112 kJ/mol of formula units.

The structure in CIF format:
```
data_BiIrPd2
_space_group_name_H-M_alt 'I -4 2 d'
_space_group_IT_number 122
_space_group_name_Hall 'I -4 2bw'
_cell_length_a 3.881
_cell_length_b 3.881
_cell_length_c 19.087
_cell_angle_alpha 90.00
_cell_angle_beta 90.00
_cell_angle_gamma 90.00
loop_
_atom_site_label
_atom_site_type_symbol
_atom_site_fract_x
_atom_site_fract_y
_atom_site_fract_z
Bi1 Bi 0.000 0.000 0.000
Ir1 Ir 0.000 0.000 0.500
Pd1 Pd 0.235 0.250 0.625
```



Record 4
An optimized crystal structure of BiIr3Pd, computed with PBEsol.

Values from the calculation:
As for the energy of formation from the pure elements: 1214 kJ/mol of formula units.

The structure in CIF format:
```
data_BiIr3Pd
_space_group_name_H-M_alt 'P m -3 m'
_space_group_IT_number 221
_space_group_name_Hall '-P 4 2 3'
_cell_length_a 4.874
_cell_length_b 4.874
_cell_length_c 4.874
_cell_angle_alpha 90.00
_cell_angle_beta 90.00
_cell_angle_gamma 90.00
loop_
_atom_site_label
_atom_site_type_symbol
_atom_site_fract_x
_atom_site_fract_y
_atom_site_fract_z
Bi1 Bi 0.000 0.000 0.000
Ir1 Ir 0.000 0.000 0.500
Pd1 Pd 0.500 0.500 0.500
```



Record 5
An optimized crystal structure of BiIr2PdS, computed with PBEsol.

Values from the calculation:
For the formation energy (no corrections), the calculation gives 1.85 eV per atom.

The structure in CIF format:
```
data_BiIr2PdS
_space_group_name_H-M_alt 'P 4/m m m'
_space_group_IT_number 123
_space_group_name_Hall '-P 4 2'
_cell_length_a 4.722
_cell_length_b 4.722
_cell_length_c 5.147
_cell_angle_alpha 90.00
_cell_angle_beta 90.00
_cell_angle_gamma 90.00
loop_
_atom_site_label
_atom_site_type_symbol
_atom_site_fract_x
_atom_site_fract_y
_atom_site_fract_z
Bi1 Bi 0.000 0.000 0.000
Ir1 Ir 0.000 0.500 0.500
Pd1 Pd 0.000 0.000 0.500
S1 S 0.500 0.500 0.000
```



Record 6
An optimized crystal structure of RbBiIr2, computed with PBEsol.

Values from the calculation:
As for the energy of formation from the pure elements: 477 kJ/mol of formula units.

The structure in CIF format:
```
data_RbBiIr2
_space_group_name_H-M_alt 'I -4 2 d'
_space_group_IT_number 122
_space_group_name_Hall 'I -4 2bw'
_cell_length_a 7.826
_cell_length_b 7.826
_cell_length_c 6.230
_cell_angle_alpha 90.00
_cell_angle_beta 90.00
_cell_angle_gamma 90.00
loop_
_atom_site_label
_atom_site_type_symbol
_atom_site_fract_x
_atom_site_fract_y
_atom_site_fract_z
Rb1 Rb 0.000 0.000 0.000
Bi1 Bi 0.000 0.000 0.500
Ir1 Ir 0.198 0.750 0.625
```



Record 7
An optimized crystal structure of RbSi2BiIr, computed with PBEsol.

Values from the calculation:
For the formation energy (no corrections), the calculation gives 0.30 eV per atom.

The structure in CIF format:
```
data_RbSi2BiIr
_space_group_name_H-M_alt 'P 4/m m m'
_space_group_IT_number 123
_space_group_name_Hall '-P 4 2'
_cell_length_a 4.648
_cell_length_b 4.648
_cell_length_c 6.057
_cell_angle_alpha 90.00
_cell_angle_beta 90.00
_cell_angle_gamma 90.00
loop_
_atom_site_label
_atom_site_type_symbol
_atom_site_fract_x
_atom_site_fract_y
_atom_site_fract_z
Rb1 Rb 0.000 0.000 0.000
Si1 Si 0.000 0.500 0.500
Bi1 Bi 0.500 0.500 0.000
Ir1 Ir 0.500 0.500 0.500
```



Record 8
An optimized crystal structure of BiIrS, computed with PBEsol.

Values from the calculation:
For the formation energy (no corrections), the calculation gives -0.31 eV per atom.

The structure in CIF format:
```
data_BiIrS
_space_group_name_H-M_alt 'P 21 3'
_space_group_IT_number 198
_space_group_name_Hall 'P 2ac 2ab 3'
_cell_length_a 6.133
_cell_length_b 6.133
_cell_length_c 6.133
_cell_angle_alpha 90.00
_cell_angle_beta 90.00
_cell_angle_gamma 90.00
loop_
_atom_site_label
_atom_site_type_symbol
_atom_site_fract_x
_atom_site_fract_y
_atom_site_fract_z
Bi1 Bi 0.131 0.369 0.631
Ir1 Ir 0.025 0.975 0.475
S1 S 0.118 0.118 0.118
```